## PaCoSnOs (PBE-GGA)

Data for a relaxed PaCoSnOs crystal.

Cell lengths 4.7080, 4.7080, 4.7080 Å; angles 60.00, 60.00, 60.00 degrees
Closest atoms and distances in Å follow each position.
Fractional coordinates of all 4 atoms:
1 Pa 0.0000 0.0000 0.0000  4 Co 2.88, 4 Os 2.88
2 Co 0.7500 0.7500 0.7500  4 Sn 2.88, 4 Pa 2.88
3 Sn 0.5000 0.5000 0.5000  4 Co 2.88, 4 Os 2.88
4 Os 0.2500 0.2500 0.2500  4 Sn 2.88, 4 Pa 2.88

DFT total energy = -8.056 eV per atom
Spin magnetization = 0.9 Bohr magnetons per cell
DFT formation energy = -0.0977 eV per atom
Space group = No. 216

***

## TbPaCoOs (PBE-GGA)

Data for a relaxed TbPaCoOs crystal.

Cell lengths 4.8040, 4.8040, 4.8040 Å; angles 60.00, 60.00, 60.00 degrees
Closest atoms and distances in Å follow each position.
Fractional coordinates of all 4 atoms:
1 Tb 0.0000 0.0000 0.0000  4 Os 2.94, 4 Co 2.94
2 Pa 0.5000 0.5000 0.5000  4 Os 2.94, 4 Co 2.94
3 Co 0.2500 0.2500 0.2500  4 Tb 2.94, 4 Pa 2.94
4 Os 0.7500 0.7500 0.7500  4 Tb 2.94, 4 Pa 2.94

DFT total energy = -8.272 eV per atom
Spin magnetization = 0.0 Bohr magnetons per cell
DFT formation energy = -0.1568 eV per atom
Space group = No. 216

***

Please write out number 2 again, unchanged.
## TbPaCoOs (PBE-GGA)

Data for a relaxed TbPaCoOs crystal.

Cell lengths 4.8040, 4.8040, 4.8040 Å; angles 60.00, 60.00, 60.00 degrees
Closest atoms and distances in Å follow each position.
Fractional coordinates of all 4 atoms:
1 Tb 0.0000 0.0000 0.0000  4 Os 2.94, 4 Co 2.94
2 Pa 0.5000 0.5000 0.5000  4 Os 2.94, 4 Co 2.94
3 Co 0.2500 0.2500 0.2500  4 Tb 2.94, 4 Pa 2.94
4 Os 0.7500 0.7500 0.7500  4 Tb 2.94, 4 Pa 2.94

DFT total energy = -8.272 eV per atom
Spin magnetization = 0.0 Bohr magnetons per cell
DFT formation energy = -0.1568 eV per atom
Space group = No. 216

***

Copy entry 2 word for word.
## TbPaCoOs (PBE-GGA)

Data for a relaxed TbPaCoOs crystal.

Cell lengths 4.8040, 4.8040, 4.8040 Å; angles 60.00, 60.00, 60.00 degrees
Closest atoms and distances in Å follow each position.
Fractional coordinates of all 4 atoms:
1 Tb 0.0000 0.0000 0.0000  4 Os 2.94, 4 Co 2.94
2 Pa 0.5000 0.5000 0.5000  4 Os 2.94, 4 Co 2.94
3 Co 0.2500 0.2500 0.2500  4 Tb 2.94, 4 Pa 2.94
4 Os 0.7500 0.7500 0.7500  4 Tb 2.94, 4 Pa 2.94

DFT total energy = -8.272 eV per atom
Spin magnetization = 0.0 Bohr magnetons per cell
DFT formation energy = -0.1568 eV per atom
Space group = No. 216